A plane-wave DFT calculation with PBE was carried out for a relaxed structure of CeReN2.

V = 14.68 Å³/atom
uncorrected formation energy = 16 kJ/mol of formula units
total moment = 1.19 Bohr magnetons per cell

Cell: 3.326 3.326 6.423 Å, 74.99 74.99 60.00°
Last column: magnetic moment on the atom in μB.
Atoms (fractional coordinates):
Re: 0.500 0.500 0.500  0.97
Ce: 0.000 0.000 0.000  0.11
N: 0.120 0.120 0.640  0.01
N: 0.880 0.880 0.360  0.01

A plane-wave DFT calculation with PBE was carried out for a relaxed structure of Fe2CoCu.

excess energy over the best structure of this formula in the dataset = 32 meV/atom
V = 11.62 Å³/atom
total moment = 6.74 Bohr magnetons per cell

Cell: 4.740 4.767 2.442 Å, 80.02 80.41 117.04°
Last column: magnetic moment on the atom in μB.
Atoms (fractional coordinates):
Co: 0.000 0.500 0.500  1.71
Cu: 0.500 0.500 0.000  0.08
Fe: 0.000 0.000 0.000  2.54
Fe: 0.500 0.000 0.500  2.54

A plane-wave DFT calculation with PBE was carried out for a relaxed structure of Ag5W.

excess energy over the best structure of this formula in the dataset = 0 meV/atom
V = 17.40 Å³/atom
total moment = 0.00 Bohr magnetons per cell

Cell: 7.938 7.938 4.826 Å, 90.00 90.00 159.92°
Atoms (fractional coordinates):
Ag: 0.003 0.997 0.000
Ag: 0.337 0.663 0.000
Ag: 0.666 0.334 0.000
Ag: 0.444 0.556 0.500
Ag: 0.774 0.226 0.500
W: 0.109 0.891 0.500

A plane-wave DFT calculation with PBE was carried out for a relaxed structure of NaSeS2.

V = 27.89 Å³/atom
uncorrected formation energy = -54 kJ/mol of formula units
total moment = 0.00 Bohr magnetons per cell

Cell: 5.757 5.757 7.866 Å, 68.53 68.53 90.00°
Atoms (fractional coordinates):
Na: 0.500 0.500 0.000
Na: 0.250 0.750 0.500
S: 0.689 0.125 0.250
S: 0.061 0.625 0.250
S: 0.375 0.311 0.750
S: 0.875 0.939 0.750
Se: 0.000 0.000 0.000
Se: 0.750 0.250 0.500

A plane-wave DFT calculation with PBE was carried out for a relaxed structure of CsBaTlI4.

V = 61.84 Å³/atom
uncorrected formation energy = -878 kJ/mol of formula units
total moment = 0.00 Bohr magnetons per cell

Cell: 6.760 6.760 10.611 Å, 108.57 108.57 90.00°
Atoms (fractional coordinates):
Cs: 0.629 0.629 0.258
Ba: 0.998 0.998 0.997
Tl: 0.350 0.350 0.700
I: 0.007 0.507 0.015
I: 0.507 0.007 0.015
I: 0.823 0.823 0.646
I: 0.185 0.185 0.369

A plane-wave DFT calculation with PBE was carried out for a relaxed structure of Nd8Ag2Bi.

V = 31.37 Å³/atom
E = -50.07 eV per cell
total moment = 0.00 Bohr magnetons per cell

Cell: 5.429 8.687 8.835 Å, 117.94 107.90 90.00°
Atoms (fractional coordinates):
Nd: 0.402 0.540 0.804
Nd: 0.686 0.965 0.372
Nd: 0.853 0.792 0.706
Nd: 0.933 0.277 0.866
Nd: 0.147 0.208 0.294
Nd: 0.314 0.035 0.628
Nd: 0.598 0.460 0.196
Nd: 0.067 0.723 0.134
Ag: 0.783 0.386 0.566
Ag: 0.217 0.614 0.434
Bi: 0.500 0.000 0.000